No. 1
# PBE-GGA SrPm3Pr2Te6, optimized geometry
# E_form (uncorrected)   -1465 meV/atom
data_SrPm3Pr2Te6
_cell_length_a 19.758
_cell_length_b 4.515
_cell_length_c 9.099
_cell_angle_alpha 90.00
_cell_angle_beta 103.66
_cell_angle_gamma 90.00
_space_group_name_H-M_alt 'C 1 2/m 1'
_space_group_IT_number 12
loop_
_space_group_symop_operation_xyz
'x,y,z'
'-x,-y,-z'
'-x,y,-z'
'x,-y,z'
'x+1/2,y+1/2,z'
'-x+1/2,-y+1/2,-z'
'-x+1/2,y+1/2,-z'
'x+1/2,-y+1/2,z'
loop_
_atom_site_label
_atom_site_type_symbol
_atom_site_fract_x
_atom_site_fract_y
_atom_site_fract_z
Sr1 Sr 0.000 0.000 0.000
Pm1 Pm 0.000 0.000 0.500
Pm2 Pm 0.166 0.500 0.823
Pr1 Pr 0.172 0.500 0.344
Te1 Te 0.001 0.500 0.256
Te2 Te 0.163 0.000 0.584
Te3 Te 0.169 0.000 0.079

=====

No. 2
# PBE-GGA Ba2Li6Hg3, optimized geometry
# Energy relative to the elements   -249 meV/atom
data_Ba2Li6Hg3
_cell_length_a 8.5668
_cell_length_b 8.5668
_cell_length_c 4.7658
_cell_angle_alpha 90.00
_cell_angle_beta 90.00
_cell_angle_gamma 120.00
_space_group_name_H-M_alt 'P -6 2 m'
_space_group_IT_number 189
_space_group_name_Hall 'P -6 -2'
loop_
_atom_site_label
_atom_site_type_symbol
_atom_site_fract_x
_atom_site_fract_y
_atom_site_fract_z
Ba1 Ba 0.3333 0.6667 0.0000
Li1 Li 0.0000 0.2477 0.5000
Li2 Li 0.0000 0.8052 0.0000
Hg1 Hg 0.0000 0.6218 0.5000